This record from Alexandria describes an optimized crystal structure of CeYCoAg. The functional is PBE.

The structure in POSCAR format:
```
CeYCoAg
1.0
-4.496 0.669 -2.086
-4.144 -0.700 2.711
-2.814 3.917 1.325
Ag Ce Co Y
1 1 1 1
Direct
0.000 0.000 0.000
0.250 0.250 0.250
0.500 0.500 0.500
0.750 0.750 0.750
```

Results
Mass density   7.428 g/cm3
E_form   -67 meV/atom
Energy   -5.66 eV/atom